# TiNbGa2W | Alexandria via LeMat-Bulk | GGA-PBE | relaxed
data_TiNbGa2W
_chemical_formula_sum 'Ti1 Nb1 Ga2 W1'
_cell_length_a 4.829
_cell_length_b 4.829
_cell_length_c 4.802
_cell_angle_alpha 90.00
_cell_angle_beta 90.00
_cell_angle_gamma 90.00
_symmetry_space_group_name_H-M 'P 4/m m m'
_symmetry_Int_Tables_number 123
_symmetry_space_group_name_Hall '-P 4 2'
loop_
_atom_site_label
_atom_site_type_symbol
_atom_site_fract_x
_atom_site_fract_y
_atom_site_fract_z
_atom_site_occupancy
Ti1 Ti 0.000 0.000 0.000 1
Nb1 Nb 0.500 0.500 0.000 1
Ga1 Ga 0.000 0.500 0.500 1
W1 W 0.500 0.500 0.500 1
# - spin magnetization (μB per cell) = 0.94
# - E_tot (eV/atom) = -6.40

# YMnV | Alexandria via LeMat-Bulk | GGA-PBE | relaxed
data_YMnV
_chemical_formula_sum 'Y4 Mn4 V4'
_cell_length_a 3.526
_cell_length_b 15.658
_cell_length_c 4.202
_cell_angle_alpha 90.00
_cell_angle_beta 90.00
_cell_angle_gamma 90.00
_symmetry_space_group_name_H-M 'C m c m'
_symmetry_Int_Tables_number 63
_symmetry_space_group_name_Hall '-C 2c 2'
loop_
_atom_site_label
_atom_site_type_symbol
_atom_site_fract_x
_atom_site_fract_y
_atom_site_fract_z
_atom_site_occupancy
Y1 Y 0.000 0.088 0.250 1
Mn1 Mn 0.000 0.340 0.250 1
V1 V 0.000 0.252 0.750 1
# - spin magnetization (μB per cell) = 0.00
# - E_tot (eV/atom) = -8.11

# Rb2GePbSe4 | Alexandria via LeMat-Bulk | GGA-PBE | relaxed
data_Rb2GePbSe4
_chemical_formula_sum 'Rb16 Ge8 Pb8 Se32'
_cell_length_a 6.880
_cell_length_b 14.398
_cell_length_c 25.793
_cell_angle_alpha 90.00
_cell_angle_beta 90.00
_cell_angle_gamma 90.00
_symmetry_space_group_name_H-M 'F d d d'
_symmetry_Int_Tables_number 70
loop_
_symmetry_equiv_pos_as_xyz
'x,y,z'
'-x,-y,-z'
'-x+1/4,-y+1/4,z'
'x+1/4,y+1/4,-z'
'x,-y+1/4,-z+1/4'
'-x,y+1/4,z+1/4'
'-x+1/4,y,-z+1/4'
'x+1/4,-y,z+1/4'
'x,y+1/2,z+1/2'
'-x,-y+1/2,-z+1/2'
'-x+1/4,-y+3/4,z+1/2'
'x+1/4,y+3/4,-z+1/2'
'x,-y+3/4,-z+3/4'
'-x,y+3/4,z+3/4'
'-x+1/4,y+1/2,-z+3/4'
'x+1/4,-y+1/2,z+3/4'
'x+1/2,y,z+1/2'
'-x+1/2,-y,-z+1/2'
'-x+3/4,-y+1/4,z+1/2'
'x+3/4,y+1/4,-z+1/2'
'x+1/2,-y+1/4,-z+3/4'
'-x+1/2,y+1/4,z+3/4'
'-x+3/4,y,-z+3/4'
'x+3/4,-y,z+3/4'
'x+1/2,y+1/2,z'
'-x+1/2,-y+1/2,-z'
'-x+3/4,-y+3/4,z'
'x+3/4,y+3/4,-z'
'x+1/2,-y+3/4,-z+1/4'
'-x+1/2,y+3/4,z+1/4'
'-x+3/4,y+1/2,-z+1/4'
'x+3/4,-y+1/2,z+1/4'
loop_
_atom_site_label
_atom_site_type_symbol
_atom_site_fract_x
_atom_site_fract_y
_atom_site_fract_z
_atom_site_occupancy
Rb1 Rb 0.125 0.125 0.312 1
Ge1 Ge 0.125 0.125 0.625 1
Pb1 Pb 0.125 0.125 0.125 1
Se1 Se 0.065 0.273 0.821 1
# - spin magnetization (μB per cell) = 0.00
# - energy relative to the elements, uncorrected (eV/f.u.) = -5.44
# - E_tot (eV/atom) = -3.71

# Nb14FeOs | Alexandria via LeMat-Bulk | GGA-PBE | relaxed
data_Nb14FeOs
_chemical_formula_sum 'Nb14 Fe1 Os1'
_cell_length_a 6.519
_cell_length_b 6.519
_cell_length_c 6.583
_cell_angle_alpha 90.00
_cell_angle_beta 90.00
_cell_angle_gamma 90.00
_symmetry_space_group_name_H-M 'P 4/m m m'
_symmetry_Int_Tables_number 123
_symmetry_space_group_name_Hall '-P 4 2'
loop_
_atom_site_label
_atom_site_type_symbol
_atom_site_fract_x
_atom_site_fract_y
_atom_site_fract_z
_atom_site_occupancy
Nb1 Nb 0.000 0.000 0.000 1
Nb2 Nb 0.000 0.500 0.000 1
Nb3 Nb 0.000 0.500 0.500 1
Nb4 Nb 0.249 0.249 0.257 1
Nb5 Nb 0.500 0.500 0.000 1
Fe1 Fe 0.000 0.000 0.500 1
Os1 Os 0.500 0.500 0.500 1
# - spin magnetization (μB per cell) = 0.48
# - E_tot (eV/atom) = -10.12

# NpFe4P2 | Alexandria via LeMat-Bulk | GGA-PBE | relaxed
data_NpFe4P2
_chemical_formula_sum 'Np2 Fe8 P4'
_cell_length_a 3.590
_cell_length_b 3.590
_cell_length_c 15.199
_cell_angle_alpha 90.00
_cell_angle_beta 90.00
_cell_angle_gamma 90.00
_symmetry_space_group_name_H-M 'I 4/m m m'
_symmetry_Int_Tables_number 139
_symmetry_space_group_name_Hall '-I 4 2'
loop_
_atom_site_label
_atom_site_type_symbol
_atom_site_fract_x
_atom_site_fract_y
_atom_site_fract_z
_atom_site_occupancy
Np1 Np 0.000 0.000 0.000 1
Fe1 Fe 0.000 0.000 0.136 1
Fe2 Fe 0.000 0.500 0.250 1
P1 P 0.000 0.000 0.343 1
# - spin magnetization (μB per cell) = 0.87
# - E_tot (eV/atom) = -8.38

> What is the formula in the second record?

YMnV

> What is the formula in the third record?

Rb2GePbSe4

Repeat the third record exactly.
# Rb2GePbSe4 | Alexandria via LeMat-Bulk | GGA-PBE | relaxed
data_Rb2GePbSe4
_chemical_formula_sum 'Rb16 Ge8 Pb8 Se32'
_cell_length_a 6.880
_cell_length_b 14.398
_cell_length_c 25.793
_cell_angle_alpha 90.00
_cell_angle_beta 90.00
_cell_angle_gamma 90.00
_symmetry_space_group_name_H-M 'F d d d'
_symmetry_Int_Tables_number 70
loop_
_symmetry_equiv_pos_as_xyz
'x,y,z'
'-x,-y,-z'
'-x+1/4,-y+1/4,z'
'x+1/4,y+1/4,-z'
'x,-y+1/4,-z+1/4'
'-x,y+1/4,z+1/4'
'-x+1/4,y,-z+1/4'
'x+1/4,-y,z+1/4'
'x,y+1/2,z+1/2'
'-x,-y+1/2,-z+1/2'
'-x+1/4,-y+3/4,z+1/2'
'x+1/4,y+3/4,-z+1/2'
'x,-y+3/4,-z+3/4'
'-x,y+3/4,z+3/4'
'-x+1/4,y+1/2,-z+3/4'
'x+1/4,-y+1/2,z+3/4'
'x+1/2,y,z+1/2'
'-x+1/2,-y,-z+1/2'
'-x+3/4,-y+1/4,z+1/2'
'x+3/4,y+1/4,-z+1/2'
'x+1/2,-y+1/4,-z+3/4'
'-x+1/2,y+1/4,z+3/4'
'-x+3/4,y,-z+3/4'
'x+3/4,-y,z+3/4'
'x+1/2,y+1/2,z'
'-x+1/2,-y+1/2,-z'
'-x+3/4,-y+3/4,z'
'x+3/4,y+3/4,-z'
'x+1/2,-y+3/4,-z+1/4'
'-x+1/2,y+3/4,z+1/4'
'-x+3/4,y+1/2,-z+1/4'
'x+3/4,-y+1/2,z+1/4'
loop_
_atom_site_label
_atom_site_type_symbol
_atom_site_fract_x
_atom_site_fract_y
_atom_site_fract_z
_atom_site_occupancy
Rb1 Rb 0.125 0.125 0.312 1
Ge1 Ge 0.125 0.125 0.625 1
Pb1 Pb 0.125 0.125 0.125 1
Se1 Se 0.065 0.273 0.821 1
# - spin magnetization (μB per cell) = 0.00
# - energy relative to the elements, uncorrected (eV/f.u.) = -5.44
# - E_tot (eV/atom) = -3.71